Computed, not measured: K2RbNpF6 after structural relaxation at the PBE-GGA level of DFT.

Calculated values
Space-group type = P2_1/c (14)
Formation energy without anion corrections = -3.0449 eV/atom
Total energy = -115.56 eV for the cell shown

Cell lengths 6.5947, 6.8915, 9.4548 Å; angles 90.00, 88.57, 90.00 degrees
Each line ends with the local moment (μB).
Sites, in units of the cell vectors:
K1 0.0080 0.9571 0.2719  0.00
K2 0.5080 0.5429 0.7719  0.00
K3 0.9920 0.0429 0.7281  0.00
K4 0.4920 0.4571 0.2281  0.00
Rb1 0.5000 0.0000 0.0000  0.00
Rb2 0.0000 0.5000 0.5000  0.00
Np1 0.5000 0.0000 0.5000  3.97
Np2 0.0000 0.5000 0.0000  3.97
F1 0.2986 0.6602 0.0351  -0.01
F2 0.7986 0.8398 0.5351  -0.01
F3 0.7014 0.3398 0.9649  -0.01
F4 0.2014 0.1602 0.4649  -0.01
F5 0.3416 0.7341 0.4022  -0.01
F6 0.8416 0.7659 0.9022  -0.01
F7 0.6584 0.2659 0.5978  -0.01
F8 0.1584 0.2341 0.0978  -0.01
F9 0.8749 0.5956 0.2190  -0.01
F10 0.3749 0.9044 0.7190  -0.01
F11 0.1251 0.4044 0.7810  -0.01
F12 0.6251 0.0956 0.2810  -0.01

Computed, not measured: DyAlP after structural relaxation at the PBE-GGA level of DFT.

Calculated values
Energy of formation = -0.772 eV/atom
Space-group type = R-3m (166)
Total energy = -32.14 eV for the cell shown

Cell lengths 4.6551, 4.6551, 8.0543 Å; angles 73.20, 73.20, 60.00 degrees
Sites, in units of the cell vectors:
Dy1 0.5944 0.5944 0.2167
Dy2 0.4056 0.4056 0.7833
P1 0.2824 0.2824 0.1529
P2 0.7176 0.7176 0.8471
Al1 0.8221 0.8221 0.5336
Al2 0.1779 0.1779 0.4664

Computed, not measured: Pr2ZnH after structural relaxation at the PBE-GGA level of DFT.

Calculated values
Space-group type = C2/m (12)
Polymorph energy (0 for the lowest one) = 0.000 eV per atom
Total energy = -30.78 eV for the cell shown

Cell lengths 3.9647, 7.1451, 7.6097 Å; angles 112.29, 105.11, 89.98 degrees
Sites, in units of the cell vectors:
Pr1 0.3453 0.0510 0.2657
Pr2 0.0427 0.4962 0.6594
Pr3 0.6182 0.0633 0.8115
Pr4 0.3156 0.5085 0.2052
Zn1 0.7183 0.7069 0.0116
Zn2 0.9426 0.8527 0.4595
H1 0.2098 0.1589 0.9947
H2 0.4510 0.4006 0.4761

Question: Among the records above, which one has the highest total energy?
Answer: Pr2ZnH

Question: The highest total energy belongs to which entry?
Answer: Pr2ZnH

Question: Which formula does entry 1 have?
Answer: K2RbNpF6

Question: What is the total energy in the first record?
Answer: -115.56 eV for the cell shown